PBE-GGA Pr5Dy5Ho, relaxed; symmetry = No. 12; calculated formation energy = 0.2558 eV per atom; DOS(E_F) = 18.68 states/eV/f.u.; total DFT energy (no corrections) = -4.425 eV per atom
1.0
-2.2942 -0.4226 5.5712
9.6469 -2.5687 0.5037
-0.7233 7.0318 0.2356
Pr Dy Ho
5 5 1
Direct
0.8247 0.6495 0.0687
0.8248 0.6496 0.5802
0.5000 0.0000 0.0000
0.1752 0.3504 0.4198
0.1753 0.3505 0.9313
0.6688 0.3377 0.1695
0.6219 0.2437 0.6227
0.0000 0.0000 0.5000
0.3781 0.7563 0.3773
0.3312 0.6623 0.8305
0.0000 0.0000 0.0000


PBE-GGA Pr2DyHo, relaxed; symmetry = No. 166; calculated formation energy = 0.0124 eV per atom; DOS(E_F) = 4.39 states/eV/f.u.; total DFT energy (no corrections) = -4.672 eV per atom
1.0
-2.1571 2.7281 1.0447
-2.7419 1.0645 -2.1297
-8.7383 -6.3916 4.9596
Pr Ho Dy
2 1 1
Direct
0.7498 0.7498 0.7505
0.2502 0.2502 0.2495
0.0000 0.0000 0.0000
0.5000 0.5000 0.5000


PBE-GGA Pr4Dy10Ho, relaxed; symmetry = No. 139; calculated formation energy = 0.2642 eV per atom; DOS(E_F) = 21.85 states/eV/f.u.; total DFT energy (no corrections) = -4.384 eV per atom
1.0
-1.4496 -7.6317 -1.8138
2.3295 -2.6580 -8.2196
6.5345 -5.8392 1.8047
Pr Dy Ho
4 10 1
Direct
0.2278 0.9995 0.5450
0.7728 0.4550 0.9995
0.2272 0.5450 0.0005
0.7722 0.0005 0.4550
0.2500 0.5000 0.5000
0.7069 0.2080 0.7918
0.0851 0.2082 0.2080
0.5013 0.7918 0.7920
0.7067 0.7920 0.2082
0.2931 0.7920 0.2082
0.7500 0.5000 0.5000
0.2933 0.2080 0.7918
0.4987 0.2082 0.2080
0.9149 0.7918 0.7920
0.0000 0.0000 0.0000


PBE-GGA Pr3Dy7Ho2, relaxed; symmetry = No. 10; calculated formation energy = 0.0866 eV per atom; DOS(E_F) = 15.05 states/eV/f.u.; total DFT energy (no corrections) = -4.556 eV per atom
1.0
3.5794 0.0000 0.0000
0.0000 5.8483 0.2629
0.0000 -1.8406 18.7722
Pr Dy Ho
3 7 2
Direct
0.5000 0.5000 0.0000
0.0000 0.2225 0.3662
0.0000 0.7775 0.6338
0.5000 0.7430 0.4625
0.5000 0.2570 0.5375
0.0000 0.6915 0.1442
0.0000 0.0000 0.0000
0.0000 0.3085 0.8558
0.5000 0.8063 0.8240
0.5000 0.1937 0.1760
0.5000 0.7116 0.2926
0.5000 0.2884 0.7074


PBE-GGA Pr4Dy3Ho2, relaxed; symmetry = No. 12; calculated formation energy = 0.0841 eV per atom; DOS(E_F) = 12.56 states/eV/f.u.; total DFT energy (no corrections) = -4.591 eV per atom
1.0
-1.4249 3.3731 -0.0656
-4.5808 -3.9795 -2.8937
-10.8736 -4.4255 8.6348
Pr Dy Ho
4 3 2
Direct
0.6485 0.2970 0.1279
0.1089 0.2177 0.6081
0.8911 0.7823 0.3919
0.3515 0.7030 0.8721
0.3803 0.7605 0.6116
0.0000 0.0000 0.0000
0.6197 0.2395 0.3884
0.3382 0.6764 0.2089
0.6618 0.3236 0.7911


PBE-GGA Pr6DyHo6, relaxed; symmetry = No. 191; calculated formation energy = 0.2639 eV per atom; DOS(E_F) = 27.75 states/eV/f.u.; total DFT energy (no corrections) = -4.409 eV per atom
1.0
6.7543 -0.0004 0.0000
-3.3767 5.8497 0.0000
0.0000 0.0000 11.4638
Pr Dy Ho
6 1 6
Direct
0.0000 0.0000 0.6567
0.0000 0.0000 0.3433
0.3333 0.6667 0.0000
0.6667 0.3333 0.0000
0.3333 0.6667 0.5000
0.6667 0.3333 0.5000
0.0000 0.0000 0.0000
0.0000 0.5000 0.7531
0.5000 0.0000 0.7531
0.5000 0.5000 0.7531
0.5000 0.0000 0.2469
0.0000 0.5000 0.2469
0.5000 0.5000 0.2469


PBE-GGA PrDy7Ho5, relaxed; symmetry = No. 44; calculated formation energy = 0.2467 eV per atom; DOS(E_F) = 24.09 states/eV/f.u.; total DFT energy (no corrections) = -4.360 eV per atom
1.0
-1.8465 6.3202 1.0508
-7.1099 2.1828 -4.4682
-5.7495 0.7646 6.4528
Pr Dy Ho
1 7 5
Direct
0.0319 0.9681 0.9681
0.7292 0.2708 0.2708
0.4238 0.5762 0.5762
0.9810 0.3486 0.6895
0.9810 0.6895 0.3486
0.2289 0.2711 0.2711
0.4811 0.8490 0.1888
0.4811 0.1888 0.8490
0.4664 0.9981 0.5382
0.9974 0.9981 0.5382
0.4664 0.5382 0.9981
0.9974 0.5382 0.9981
0.7346 0.7654 0.7654


PBE-GGA PrDy2Ho, relaxed; symmetry = No. 119; calculated formation energy = 0.0220 eV per atom; DOS(E_F) = 5.71 states/eV/f.u.; total DFT energy (no corrections) = -4.618 eV per atom
1.0
-4.6579 -1.6721 1.1323
1.9339 -4.5157 1.2869
1.9404 4.6925 3.5307
Pr Dy Ho
1 2 1
Direct
0.2499 0.7499 0.4998
0.0002 0.0002 0.0003
0.7500 0.2500 0.5001
0.4999 0.4999 0.9997


PBE-GGA Pr2Dy6Ho, relaxed; symmetry = No. 12; calculated formation energy = 0.1085 eV per atom; DOS(E_F) = 12.65 states/eV/f.u.; total DFT energy (no corrections) = -4.530 eV per atom
1.0
5.8584 1.4916 1.4440
3.6683 11.1269 -1.5009
3.6683 -1.1396 11.1697
Pr Dy Ho
4 12 2
Direct
0.0000 0.6483 0.8518
0.5000 0.1482 0.3517
0.0000 0.3517 0.1482
0.5000 0.8518 0.6483
0.3210 0.6656 0.5119
0.1790 0.4881 0.3344
0.6790 0.3344 0.4881
0.8210 0.5119 0.6656
0.9722 0.9045 0.4044
0.5278 0.5956 0.0955
0.0278 0.0955 0.5956
0.4722 0.4044 0.9045
0.1788 0.8345 0.9882
0.3212 0.0118 0.1655
0.8212 0.1655 0.0118
0.6788 0.9882 0.8345
0.2500 0.2500 0.7500
0.7500 0.7500 0.2500


PBE-GGA PrDy5Ho8, relaxed; symmetry = No. 82; calculated formation energy = 0.2458 eV per atom; DOS(E_F) = 21.53 states/eV/f.u.; total DFT energy (no corrections) = -4.355 eV per atom
1.0
8.0371 0.0000 -2.4752
-4.1465 6.6884 -2.9653
0.2559 0.0000 8.4058
Pr Dy Ho
1 5 8
Direct
0.2500 0.5000 0.7500
0.0397 0.3233 0.1365
0.8635 0.9032 0.1867
0.8133 0.6767 0.7165
0.5000 0.0000 0.5000
0.2835 0.0968 0.9603
0.1650 0.7402 0.0804
0.9196 0.0845 0.6598
0.7206 0.2515 0.3263
0.6737 0.3943 0.9253
0.5309 0.6057 0.2794
0.5753 0.9155 0.8350
0.3402 0.2598 0.4247
0.0747 0.7485 0.4691


PBE-GGA PrDy2Ho9, relaxed; symmetry = No. 191; calculated formation energy = 0.0400 eV per atom; DOS(E_F) = 16.40 states/eV/f.u.; total DFT energy (no corrections) = -4.559 eV per atom
1.0
-3.4703 -0.4591 -0.2147
0.2894 -6.4619 9.1392
-1.5235 11.0473 1.0006
Pr Dy Ho
1 2 9
Direct
0.0000 0.0000 0.0000
0.0000 0.3333 0.6667
0.0000 0.6667 0.3333
0.0000 0.0000 0.5000
0.0000 0.5000 0.5000
0.0000 0.5000 0.0000
0.5000 0.3567 0.1784
0.5000 0.1784 0.8216
0.5000 0.1784 0.3567
0.5000 0.8216 0.6433
0.5000 0.8216 0.1784
0.5000 0.6433 0.8216


PBE-GGA PrDy4Ho5, relaxed; symmetry = No. 2; calculated formation energy = 0.0629 eV per atom; DOS(E_F) = 16.08 states/eV/f.u.; total DFT energy (no corrections) = -4.545 eV per atom
1.0
-1.7214 1.1713 2.8790
-4.7046 -1.4391 -4.6411
2.6434 -13.6259 3.7118
Pr Dy Ho
1 4 5
Direct
0.5000 0.0000 0.0000
0.4107 0.8091 0.2178
0.8356 0.7271 0.8035
0.5893 0.1909 0.7822
0.1644 0.2729 0.1965
0.9515 0.5736 0.3868
0.2400 0.1194 0.4165
0.7600 0.8806 0.5835
0.5000 0.5000 0.0000
0.0485 0.4264 0.6132